Record 1
The following is a GGA-PBE calculation of crystalline Sc4Te5O at its relaxed geometry, from the Alexandria database.

symmetry	No. 12
ΔE_f (raw)	-1.35	eV per atom
total moment	0.00	μB/cell
DOS at the Fermi energy	1.5	states/eV per cell

Unit cell a=8.188 b=8.188 c=10.435 alpha=106.47 beta=106.47 gamma=29.55
Fractional coordinates of all 10 atoms:
Sc1 0.004 0.004 0.312
Sc2 0.375 0.375 0.939
Sc3 0.625 0.625 0.061
Sc4 0.996 0.996 0.688
Te1 0.160 0.160 0.875
Te2 0.167 0.167 0.274
Te3 0.500 0.500 0.500
Te4 0.833 0.833 0.726
Te5 0.840 0.840 0.125
O1 0.500 0.500 0.000

Record 2
The following is a GGA-PBE calculation of crystalline ScTe2O at its relaxed geometry, from the Alexandria database.

symmetry	No. 122
ΔE_f (raw)	-0.34	eV per atom
total moment	0.00	μB/cell
DOS at the Fermi energy	24.8	states/eV per cell

Unit cell a=5.813 b=5.813 c=12.921 alpha=90.00 beta=90.00 gamma=90.00
Fractional coordinates of all 16 atoms:
Sc1 0.000 0.000 0.000
Sc2 0.000 0.500 0.250
Sc3 0.500 0.000 0.750
Sc4 0.500 0.500 0.500
Te1 0.167 0.250 0.625
Te2 0.250 0.667 0.875
Te3 0.250 0.833 0.375
Te4 0.333 0.250 0.125
Te5 0.667 0.750 0.125
Te6 0.750 0.167 0.375
Te7 0.750 0.333 0.875
Te8 0.833 0.750 0.625
O1 0.000 0.000 0.500
O2 0.000 0.500 0.750
O3 0.500 0.000 0.250
O4 0.500 0.500 0.000

Record 3
The following is a GGA-PBE calculation of crystalline Sc2TeO2 at its relaxed geometry, from the Alexandria database.

symmetry	No. 70
ΔE_f (raw)	-2.68	eV per atom
total moment	0.00	μB/cell

Unit cell a=6.878 b=5.998 c=5.857 alpha=70.91 beta=55.50 gamma=53.58
Fractional coordinates of all 10 atoms:
Sc1 0.052 0.698 0.052
Sc2 0.302 0.948 0.302
Sc3 0.698 0.052 0.698
Sc4 0.948 0.302 0.948
Te1 0.375 0.375 0.375
Te2 0.625 0.625 0.625
O1 0.009 0.009 0.741
O2 0.259 0.259 0.991
O3 0.741 0.741 0.009
O4 0.991 0.991 0.259

Record 4
The following is a GGA-PBE calculation of crystalline ScTeO2 at its relaxed geometry, from the Alexandria database.

symmetry	No. 166
ΔE_f (raw)	-1.01	eV per atom
total moment	0.00	μB/cell
DOS at the Fermi energy	7.3	states/eV per cell

Unit cell a=3.893 b=3.893 c=15.924 alpha=90.00 beta=90.00 gamma=120.00
Fractional coordinates of all 12 atoms:
Sc1 0.000 0.000 0.000
Sc2 0.333 0.667 0.667
Sc3 0.667 0.333 0.333
Te1 0.000 0.000 0.500
Te2 0.333 0.667 0.167
Te3 0.667 0.333 0.833
O1 0.000 0.000 0.125
O2 0.000 0.000 0.875
O3 0.333 0.667 0.542
O4 0.333 0.667 0.792
O5 0.667 0.333 0.208
O6 0.667 0.333 0.458

Record 5
The following is a GGA-PBE calculation of crystalline ScTeO4 at its relaxed geometry, from the Alexandria database.

symmetry	No. 30
ΔE_f (raw)	-1.97	eV per atom
excess energy over the best structure of this formula in the dataset	0	meV per atom
total moment	0.00	μB/cell
DOS at the Fermi energy	3.4	states/eV per cell

Unit cell a=5.289 b=4.898 c=5.848 alpha=90.00 beta=90.00 gamma=90.00
Fractional coordinates of all 12 atoms:
Sc1 0.000 0.000 0.000
Sc2 0.000 0.500 0.500
Te1 0.500 0.000 0.335
Te2 0.500 0.500 0.835
O1 0.177 0.218 0.289
O2 0.177 0.282 0.789
O3 0.338 0.735 0.575
O4 0.338 0.765 0.075
O5 0.662 0.235 0.075
O6 0.662 0.265 0.575
O7 0.823 0.718 0.789
O8 0.823 0.782 0.289

Record 6
The following is a GGA-PBE calculation of crystalline Sc2TeO at its relaxed geometry, from the Alexandria database.

symmetry	No. 225
ΔE_f (raw)	-1.06	eV per atom
excess energy over the best structure of this formula in the dataset	917	meV per atom
total moment	6.34	μB/cell
DOS at the Fermi energy	8.2	states/eV per cell

Unit cell a=6.645 b=6.645 c=6.645 alpha=90.00 beta=90.00 gamma=90.00
Fractional coordinates of all 16 atoms:
Sc1 0.250 0.250 0.250
Sc2 0.250 0.250 0.750
Sc3 0.250 0.750 0.250
Sc4 0.250 0.750 0.750
Sc5 0.750 0.250 0.250
Sc6 0.750 0.250 0.750
Sc7 0.750 0.750 0.250
Sc8 0.750 0.750 0.750
Te1 0.000 0.000 0.000
Te2 0.000 0.500 0.500
Te3 0.500 0.000 0.500
Te4 0.500 0.500 0.000
O1 0.000 0.000 0.500
O2 0.000 0.500 0.000
O3 0.500 0.000 0.000
O4 0.500 0.500 0.500

Record 7
The following is a GGA-PBE calculation of crystalline Sc2TeO2 at its relaxed geometry, from the Alexandria database.

symmetry	No. 127
ΔE_f (raw)	-1.83	eV per atom
total moment	0.00	μB/cell
DOS at the Fermi energy	0.0	states/eV per cell

Unit cell a=7.312 b=7.312 c=2.971 alpha=90.00 beta=90.00 gamma=90.00
Fractional coordinates of all 10 atoms:
Sc1 0.128 0.372 0.000
Sc2 0.372 0.872 0.000
Sc3 0.628 0.128 0.000
Sc4 0.872 0.628 0.000
Te1 0.000 0.000 0.000
Te2 0.500 0.500 0.000
O1 0.112 0.612 0.500
O2 0.388 0.112 0.500
O3 0.612 0.888 0.500
O4 0.888 0.388 0.500

Record 8
The following is a GGA-PBE calculation of crystalline Sc2Te3O9 at its relaxed geometry, from the Alexandria database.

symmetry	No. 14
ΔE_f (raw)	-1.94	eV per atom
total moment	0.00	μB/cell
DOS at the Fermi energy	0.0	states/eV per cell

Unit cell a=5.299 b=25.099 c=7.421 alpha=90.00 beta=116.53 gamma=90.00
Fractional coordinates of all 56 atoms:
Sc1 0.075 0.161 0.118
Sc2 0.075 0.339 0.618
Sc3 0.169 0.023 0.367
Sc4 0.169 0.477 0.867
Sc5 0.831 0.523 0.133
Sc6 0.831 0.977 0.633
Sc7 0.925 0.661 0.382
Sc8 0.925 0.839 0.882
Te1 0.260 0.618 0.037
Te2 0.260 0.882 0.537
Te3 0.443 0.565 0.597
Te4 0.443 0.935 0.097
Te5 0.462 0.226 0.830
Te6 0.462 0.274 0.330
Te7 0.538 0.726 0.670
Te8 0.538 0.774 0.170
Te9 0.557 0.065 0.903
Te10 0.557 0.435 0.403
Te11 0.740 0.118 0.463
Te12 0.740 0.382 0.963
O1 0.055 0.551 0.968
O2 0.055 0.949 0.468
O3 0.177 0.728 0.448
O4 0.177 0.772 0.948
O5 0.184 0.517 0.405
O6 0.184 0.983 0.905
O7 0.185 0.626 0.261
O8 0.185 0.874 0.761
O9 0.198 0.615 0.630
O10 0.198 0.885 0.130
O11 0.265 0.187 0.943
O12 0.265 0.313 0.443
O13 0.361 0.092 0.308
O14 0.361 0.408 0.808
O15 0.379 0.202 0.370
O16 0.379 0.298 0.870
O17 0.470 0.526 0.831
O18 0.470 0.974 0.331
O19 0.530 0.026 0.669
O20 0.530 0.474 0.169
O21 0.621 0.702 0.130
O22 0.621 0.798 0.630
O23 0.639 0.592 0.192
O24 0.639 0.908 0.692
O25 0.735 0.687 0.557
O26 0.735 0.813 0.057
O27 0.802 0.115 0.870
O28 0.802 0.385 0.370
O29 0.815 0.126 0.239
O30 0.815 0.374 0.739
O31 0.816 0.017 0.095
O32 0.816 0.483 0.595
O33 0.823 0.228 0.052
O34 0.823 0.272 0.552
O35 0.945 0.051 0.532
O36 0.945 0.449 0.032

Record 9
The following is a GGA-PBE calculation of crystalline ScTe2O at its relaxed geometry, from the Alexandria database.

symmetry	No. 166
ΔE_f (raw)	0.20	eV per atom
total moment	0.00	μB/cell
DOS at the Fermi energy	8.8	states/eV per cell

Unit cell a=3.356 b=3.356 c=27.617 alpha=90.00 beta=90.00 gamma=120.00
Fractional coordinates of all 12 atoms:
Sc1 0.000 0.000 0.000
Sc2 0.333 0.667 0.667
Sc3 0.667 0.333 0.333
Te1 0.000 0.000 0.104
Te2 0.000 0.000 0.896
Te3 0.333 0.667 0.563
Te4 0.333 0.667 0.771
Te5 0.667 0.333 0.229
Te6 0.667 0.333 0.437
O1 0.000 0.000 0.500
O2 0.333 0.667 0.167
O3 0.667 0.333 0.833

Record 10
The following is a GGA-PBE calculation of crystalline ScTeO4 at its relaxed geometry, from the Alexandria database.

symmetry	No. 11
ΔE_f (raw)	-1.89	eV per atom
excess energy over the best structure of this formula in the dataset	75	meV per atom
total moment	0.00	μB/cell
DOS at the Fermi energy	2.9	states/eV per cell

Unit cell a=4.028 b=6.959 c=6.294 alpha=90.00 beta=108.57 gamma=90.00
Fractional coordinates of all 12 atoms:
Sc1 0.058 0.250 0.115
Sc2 0.942 0.750 0.885
Te1 0.213 0.750 0.425
Te2 0.787 0.250 0.575
O1 0.095 0.564 0.188
O2 0.095 0.936 0.188
O3 0.257 0.250 0.515
O4 0.391 0.750 0.782
O5 0.609 0.250 0.218
O6 0.743 0.750 0.485
O7 0.905 0.064 0.812
O8 0.905 0.436 0.812

Record 11
The following is a GGA-PBE calculation of crystalline Sc2TeO at its relaxed geometry, from the Alexandria database.

symmetry	No. 122
ΔE_f (raw)	-1.90	eV per atom
excess energy over the best structure of this formula in the dataset	77	meV per atom
total moment	0.00	μB/cell
DOS at the Fermi energy	3.8	states/eV per cell

Unit cell a=6.678 b=6.678 c=6.994 alpha=90.00 beta=90.00 gamma=90.00
Fractional coordinates of all 16 atoms:
Sc1 0.129 0.250 0.125
Sc2 0.250 0.629 0.375
Sc3 0.250 0.871 0.875
Sc4 0.371 0.250 0.625
Sc5 0.629 0.750 0.625
Sc6 0.750 0.129 0.875
Sc7 0.750 0.371 0.375
Sc8 0.871 0.750 0.125
Te1 0.000 0.000 0.500
Te2 0.000 0.500 0.750
Te3 0.500 0.000 0.250
Te4 0.500 0.500 0.000
O1 0.000 0.000 0.000
O2 0.000 0.500 0.250
O3 0.500 0.000 0.750
O4 0.500 0.500 0.500

Record 12
The following is a GGA-PBE calculation of crystalline Sc2TeO6 at its relaxed geometry, from the Alexandria database.

symmetry	No. 136
ΔE_f (raw)	-2.45	eV per atom
total moment	0.00	μB/cell
DOS at the Fermi energy	0.0	states/eV per cell

Unit cell a=4.789 b=4.789 c=9.550 alpha=90.00 beta=90.00 gamma=90.00
Fractional coordinates of all 18 atoms:
Sc1 0.000 0.000 0.165
Sc2 0.000 0.000 0.835
Sc3 0.500 0.500 0.335
Sc4 0.500 0.500 0.665
Te1 0.000 0.000 0.500
Te2 0.500 0.500 0.000
O1 0.188 0.188 0.345
O2 0.188 0.188 0.655
O3 0.210 0.210 0.000
O4 0.290 0.710 0.500
O5 0.312 0.688 0.155
O6 0.312 0.688 0.845
O7 0.688 0.312 0.155
O8 0.688 0.312 0.845
O9 0.710 0.290 0.500
O10 0.790 0.790 0.000
O11 0.812 0.812 0.345
O12 0.812 0.812 0.655

Record 13
The following is a GGA-PBE calculation of crystalline Sc2Te5O13 at its relaxed geometry, from the Alexandria database.

symmetry	No. 2
ΔE_f (raw)	-1.67	eV per atom
total moment	0.00	μB/cell
DOS at the Fermi energy	0.0	states/eV per cell

Unit cell a=6.688 b=8.709 c=10.663 alpha=86.56 beta=86.62 gamma=74.04
Fractional coordinates of all 40 atoms:
Sc1 0.012 0.259 0.248
Sc2 0.445 0.954 0.809
Sc3 0.555 0.046 0.191
Sc4 0.988 0.741 0.752
Te1 0.144 0.865 0.100
Te2 0.165 0.295 0.645
Te3 0.264 0.898 0.484
Te4 0.290 0.379 0.981
Te5 0.461 0.409 0.298
Te6 0.539 0.591 0.702
Te7 0.710 0.621 0.019
Te8 0.736 0.102 0.516
Te9 0.835 0.705 0.355
Te10 0.856 0.135 0.900
O1 0.023 0.854 0.568
O2 0.048 0.330 0.057
O3 0.072 0.770 0.279
O4 0.086 0.511 0.697
O5 0.142 0.000 0.912
O6 0.233 0.018 0.186
O7 0.300 0.735 0.776
O8 0.320 0.247 0.289
O9 0.338 0.007 0.617
O10 0.351 0.214 0.778
O11 0.358 0.494 0.118
O12 0.451 0.687 0.521
O13 0.484 0.178 0.020
O14 0.516 0.822 0.980
O15 0.549 0.313 0.479
O16 0.642 0.506 0.882
O17 0.649 0.786 0.222
O18 0.662 0.993 0.383
O19 0.680 0.753 0.711
O20 0.700 0.265 0.224
O21 0.767 0.982 0.814
O22 0.858 0.000 0.088
O23 0.914 0.489 0.303
O24 0.928 0.230 0.721
O25 0.952 0.670 0.943
O26 0.977 0.146 0.432

Record 14
The following is a GGA-PBE calculation of crystalline Sc2TeO at its relaxed geometry, from the Alexandria database.

symmetry	No. 11
ΔE_f (raw)	-1.98	eV per atom
excess energy over the best structure of this formula in the dataset	0	meV per atom
total moment	0.00	μB/cell
DOS at the Fermi energy	4.1	states/eV per cell

Unit cell a=4.388 b=3.942 c=8.499 alpha=90.00 beta=90.07 gamma=90.00
Fractional coordinates of all 8 atoms:
Sc1 0.249 0.250 0.166
Sc2 0.250 0.750 0.543
Sc3 0.750 0.250 0.457
Sc4 0.751 0.750 0.834
Te1 0.251 0.250 0.821
Te2 0.749 0.750 0.179
O1 0.250 0.250 0.434
O2 0.750 0.750 0.566

Record 15
The following is a GGA-PBE calculation of crystalline ScTeO2 at its relaxed geometry, from the Alexandria database.

symmetry	No. 166
ΔE_f (raw)	-2.17	eV per atom
total moment	0.00	μB/cell
DOS at the Fermi energy	2.7	states/eV per cell

Unit cell a=3.298 b=3.298 c=19.599 alpha=90.00 beta=90.00 gamma=120.00
Fractional coordinates of all 12 atoms:
Sc1 0.000 0.000 0.000
Sc2 0.333 0.667 0.667
Sc3 0.667 0.333 0.333
Te1 0.000 0.000 0.500
Te2 0.333 0.667 0.167
Te3 0.667 0.333 0.833
O1 0.000 0.000 0.384
O2 0.000 0.000 0.616
O3 0.333 0.667 0.051
O4 0.333 0.667 0.282
O5 0.667 0.333 0.718
O6 0.667 0.333 0.949

Record 16
The following is a GGA-PBE calculation of crystalline ScTeO2 at its relaxed geometry, from the Alexandria database.

symmetry	No. 122
ΔE_f (raw)	-1.74	eV per atom
total moment	0.00	μB/cell
DOS at the Fermi energy	3.2	states/eV per cell

Unit cell a=5.514 b=5.514 c=9.469 alpha=90.00 beta=90.00 gamma=90.00
Fractional coordinates of all 16 atoms:
Sc1 0.000 0.000 0.000
Sc2 0.000 0.500 0.250
Sc3 0.500 0.000 0.750
Sc4 0.500 0.500 0.500
Te1 0.000 0.000 0.500
Te2 0.000 0.500 0.750
Te3 0.500 0.000 0.250
Te4 0.500 0.500 0.000
O1 0.145 0.250 0.125
O2 0.250 0.645 0.375
O3 0.250 0.855 0.875
O4 0.355 0.250 0.625
O5 0.645 0.750 0.625
O6 0.750 0.145 0.875
O7 0.750 0.355 0.375
O8 0.855 0.750 0.125

Record 17
The following is a GGA-PBE calculation of crystalline Sc5Te2O at its relaxed geometry, from the Alexandria database.

symmetry	No. 63
ΔE_f (raw)	-1.01	eV per atom
total moment	0.00	μB/cell
DOS at the Fermi energy	16.4	states/eV per cell

Unit cell a=7.998 b=7.998 c=12.673 alpha=90.00 beta=90.00 gamma=150.67
Fractional coordinates of all 16 atoms:
Sc1 0.118 0.882 0.628
Sc2 0.118 0.882 0.872
Sc3 0.246 0.754 0.250
Sc4 0.308 0.692 0.551
Sc5 0.308 0.692 0.949
Sc6 0.692 0.308 0.051
Sc7 0.692 0.308 0.449
Sc8 0.754 0.246 0.750
Sc9 0.882 0.118 0.128
Sc10 0.882 0.118 0.372
Te1 0.074 0.926 0.112
Te2 0.074 0.926 0.388
Te3 0.926 0.074 0.612
Te4 0.926 0.074 0.888
O1 0.221 0.779 0.750
O2 0.779 0.221 0.250

Record 18
The following is a GGA-PBE calculation of crystalline ScTe2O at its relaxed geometry, from the Alexandria database.

symmetry	No. 166
ΔE_f (raw)	-0.65	eV per atom
total moment	0.00	μB/cell
DOS at the Fermi energy	9.9	states/eV per cell

Unit cell a=4.337 b=4.337 c=21.217 alpha=90.00 beta=90.00 gamma=120.00
Fractional coordinates of all 12 atoms:
Sc1 0.000 0.000 0.000
Sc2 0.333 0.667 0.667
Sc3 0.667 0.333 0.333
Te1 0.000 0.000 0.405
Te2 0.000 0.000 0.595
Te3 0.333 0.667 0.071
Te4 0.333 0.667 0.262
Te5 0.667 0.333 0.738
Te6 0.667 0.333 0.929
O1 0.000 0.000 0.500
O2 0.333 0.667 0.167
O3 0.667 0.333 0.833

Record 19
The following is a GGA-PBE calculation of crystalline ScTe2O6 at its relaxed geometry, from the Alexandria database.

symmetry	No. 15
ΔE_f (raw)	-1.56	eV per atom
total moment	0.00	μB/cell
DOS at the Fermi energy	7.4	states/eV per cell

Unit cell a=7.119 b=7.119 c=5.439 alpha=98.74 beta=98.74 gamma=102.14
Fractional coordinates of all 18 atoms:
Sc1 0.088 0.912 0.750
Sc2 0.912 0.088 0.250
Te1 0.215 0.449 0.834
Te2 0.449 0.215 0.334
Te3 0.551 0.785 0.666
Te4 0.785 0.551 0.166
O1 0.052 0.629 0.818
O2 0.069 0.189 0.629
O3 0.189 0.069 0.129
O4 0.319 0.500 0.532
O5 0.371 0.948 0.682
O6 0.500 0.319 0.032
O7 0.500 0.681 0.968
O8 0.629 0.052 0.318
O9 0.681 0.500 0.468
O10 0.811 0.931 0.871
O11 0.931 0.811 0.371
O12 0.948 0.371 0.182

Record 20
The following is a GGA-PBE calculation of crystalline ScTiTeO2 at its relaxed geometry, from the Alexandria database.

symmetry	No. 123
ΔE_f (raw)	-0.03	eV per atom
total moment	0.00	μB/cell
DOS at the Fermi energy	3.1	states/eV per cell

Unit cell a=4.192 b=4.192 c=5.388 alpha=90.00 beta=90.00 gamma=90.00
Fractional coordinates of all 5 atoms:
Sc1 0.000 0.000 0.000
Ti1 0.500 0.500 0.000
Te1 0.500 0.500 0.500
O1 0.000 0.500 0.500
O2 0.500 0.000 0.500